## Na2Ga2Ru (PBE)

Data for Na2Ga2Ru after structural relaxation.

Output
E_tot   -3.4977 eV per atom
SG   P4/mbm, No. 127

Cell: 6.5882 6.5882 5.2538 Å, 90.00 90.00 90.00°
Atoms (fractional coordinates):
Na1 0.1784 0.3216 0.0000
Na2 0.3216 0.8216 0.0000
Na3 0.6784 0.1784 0.0000
Na4 0.8216 0.6784 0.0000
Ga1 0.1820 0.6820 0.5000
Ga2 0.3180 0.1820 0.5000
Ga3 0.6820 0.8180 0.5000
Ga4 0.8180 0.3180 0.5000
Ru1 0.0000 0.0000 0.5000
Ru2 0.5000 0.5000 0.5000

***

## NaGaRu3 (PBE)

Data for NaGaRu3 after structural relaxation.

Output
E_tot   -5.1490 eV per atom
SG   Pm-3m, No. 221

Cell: 4.6696 4.6696 4.6696 Å, 90.00 90.00 90.00°
Atoms (fractional coordinates):
Na1 0.0000 0.0000 0.0000
Ga1 0.5000 0.5000 0.5000
Ru1 0.0000 0.5000 0.5000
Ru2 0.5000 0.0000 0.5000
Ru3 0.5000 0.5000 0.0000

***

## NaGaRu3 (PBE)

Data for NaGaRu3 after structural relaxation.

Output
E_tot   -4.2629 eV per atom
SG   Pm-3m, No. 221

Cell: 4.5622 4.5622 4.5622 Å, 90.00 90.00 90.00°
Atoms (fractional coordinates):
Na1 0.0000 0.0000 0.0000
Ga1 0.5000 0.5000 0.5000
Ru1 0.0000 0.0000 0.5000
Ru2 0.0000 0.5000 0.0000
Ru3 0.5000 0.0000 0.0000

***

## NaGa2Ru (PBE)

Data for NaGa2Ru after structural relaxation.

Output
E_tot   -4.3242 eV per atom
SG   P4/mmm, No. 123

Cell: 3.1103 3.1103 7.3249 Å, 90.00 90.00 90.00°
Atoms (fractional coordinates):
Na1 0.0000 0.0000 0.0000
Ga1 0.5000 0.5000 0.3060
Ga2 0.5000 0.5000 0.6940
Ru1 0.0000 0.0000 0.5000

***

## NaGa3Ru (PBE)

Data for NaGa3Ru after structural relaxation.

Output
E_tot   -4.1273 eV per atom
SG   Pm-3m, No. 221

Cell: 4.9510 4.9510 4.9510 Å, 90.00 90.00 90.00°
Atoms (fractional coordinates):
Na1 0.0000 0.0000 0.0000
Ga1 0.0000 0.5000 0.5000
Ga2 0.5000 0.0000 0.5000
Ga3 0.5000 0.5000 0.0000
Ru1 0.5000 0.5000 0.5000

***

## NaGa2Ru (PBE)

Data for NaGa2Ru after structural relaxation.

Output
E_tot   -3.8751 eV per atom
SG   I-42d, No. 122

Cell: 8.7447 8.7447 8.7447 Å, 144.85 144.85 50.56°
Atoms (fractional coordinates):
Na1 0.0000 0.0000 0.0000
Na2 0.7500 0.2500 0.5000
Ga1 0.3292 0.6250 0.2042
Ga2 0.3750 0.5792 0.7042
Ga3 0.4208 0.1250 0.7958
Ga4 0.8750 0.6708 0.2958
Ru1 0.2500 0.7500 0.5000
Ru2 0.5000 0.5000 0.0000

***

We obtain E_form values of 0.10; 1.29; 2.17; -0.16; -0.19; 0.29 eV per atom for the records listed above, in that order.
We obtain spin magnetization values of 0.0; 5.1; 5.9; 0.0; 0.0; 0.0 Bohr magnetons per cell for the records listed above, in that order.
We obtain DOS at the Fermi energy values of 3.1; 8.4; 5.2; 2.0; 0.4; 4.0 states/eV per cell for the records listed above, in that order.